# Sm2EuSc (PBE, optimized geometry)
# Energy above the most stable polymorph in this dataset ... 0.95 eV/f.u.
# Uncorrected energy ... -74.51 eV for the cell shown
# ΔE_f ... 0.3019 eV/atom
data_Sm2EuSc
_chemical_formula_sum 'Sm6 Eu3 Sc3'
_cell_length_a 3.4697
_cell_length_b 3.4697
_cell_length_c 37.4148
_cell_angle_alpha 90.00
_cell_angle_beta 90.00
_cell_angle_gamma 120.00
_space_group_name_H-M_alt 'R -3 m'
_space_group_IT_number 166
_space_group_name_Hall '-R 3 2"'
loop_
_atom_site_label
_atom_site_type_symbol
_atom_site_fract_x
_atom_site_fract_y
_atom_site_fract_z
Sm1 Sm 0.0000 0.0000 0.0830
Eu1 Eu 0.0000 0.0000 0.5000
Sc1 Sc 0.0000 0.0000 0.0000